[1]
## Nd5SmDyHo2 (PBE-GGA)

Data for crystalline Nd5SmDyHo2 at its relaxed geometry.

CIF file:
```
data_Nd5SmDyHo2
_cell_length_a 5.670
_cell_length_b 10.608
_cell_length_c 10.733
_cell_angle_alpha 90.00
_cell_angle_beta 90.00
_cell_angle_gamma 105.50
_space_group_name_H-M_alt 'P 1'
_space_group_IT_number 1
_space_group_name_Hall 'P 1'
loop_
_atom_site_label
_atom_site_type_symbol
_atom_site_fract_x
_atom_site_fract_y
_atom_site_fract_z
Nd1 Nd 0.281 0.561 0.310
Nd2 Nd 0.984 0.968 0.521
Nd3 Nd 0.297 0.593 0.705
Nd4 Nd 0.389 0.779 0.024
Nd5 Nd 0.703 0.407 0.205
Nd6 Nd 0.611 0.221 0.524
Nd7 Nd 0.016 0.032 0.021
Nd8 Nd 0.719 0.439 0.810
Nd9 Nd 0.519 0.039 0.243
Nd10 Nd 0.481 0.961 0.743
Ho1 Ho 0.889 0.778 0.238
Ho2 Ho 0.884 0.768 0.815
Ho3 Ho 0.116 0.232 0.315
Ho4 Ho 0.111 0.222 0.738
Dy1 Dy 0.410 0.820 0.459
Dy2 Dy 0.590 0.180 0.959
Sm1 Sm 0.800 0.599 0.510
Sm2 Sm 0.200 0.401 0.010
```

Values from the calculation:
Energy relative to the elements   145 meV/atom
N(E_F)   28.52 states/eV per cell
Volume   34.56 Å³ per atom
M_tot   0.000 μB per atom

***

[2]
## LiCa2As4Au3 (PBE-GGA)

Data for crystalline LiCa2As4Au3 at its relaxed geometry.

CIF file:
```
data_LiCa2As4Au3
_cell_length_a 4.282
_cell_length_b 4.282
_cell_length_c 11.584
_cell_angle_alpha 90.00
_cell_angle_beta 90.00
_cell_angle_gamma 90.00
_space_group_name_H-M_alt 'P 1'
_space_group_IT_number 1
_space_group_name_Hall 'P 1'
loop_
_atom_site_label
_atom_site_type_symbol
_atom_site_fract_x
_atom_site_fract_y
_atom_site_fract_z
As1 As 0.000 0.000 0.000
As2 As 0.000 0.500 0.363
As3 As 0.500 0.500 0.000
As4 As 0.500 0.000 0.637
Ca1 Ca 0.500 0.000 0.265
Ca2 Ca 0.000 0.500 0.735
Li1 Li 0.500 0.500 0.500
Au1 Au 0.500 0.000 0.854
Au2 Au 0.000 0.500 0.146
Au3 Au 0.000 0.000 0.500
```

Values from the calculation:
Energy relative to the elements   -577 meV/atom
N(E_F)   4.04 states/eV per cell
Volume   21.24 Å³ per atom
M_tot   0.000 μB per atom

***

[3]
## Y3Ru2 (PBE-GGA)

Data for crystalline Y3Ru2 at its relaxed geometry.

CIF file:
```
data_Y3Ru2
_cell_length_a 7.691
_cell_length_b 7.691
_cell_length_c 4.679
_cell_angle_alpha 90.00
_cell_angle_beta 90.00
_cell_angle_gamma 120.00
_space_group_name_H-M_alt 'P 1'
_space_group_IT_number 1
_space_group_name_Hall 'P 1'
loop_
_atom_site_label
_atom_site_type_symbol
_atom_site_fract_x
_atom_site_fract_y
_atom_site_fract_z
Y1 Y 0.385 0.081 0.750
Y2 Y 0.919 0.304 0.750
Y3 Y 0.696 0.615 0.750
Y4 Y 0.081 0.696 0.250
Y5 Y 0.304 0.385 0.250
Y6 Y 0.615 0.919 0.250
Ru1 Ru 0.000 0.000 0.000
Ru2 Ru 0.000 0.000 0.500
Ru3 Ru 0.667 0.333 0.250
Ru4 Ru 0.333 0.667 0.750
```

Values from the calculation:
Energy relative to the elements   -257 meV/atom
N(E_F)   6.09 states/eV per cell
Volume   23.97 Å³ per atom
M_tot   0.000 μB per atom

***

[4]
## Na2ReSBr (PBE-GGA)

Data for crystalline Na2ReSBr at its relaxed geometry.

CIF file:
```
data_Na2ReSBr
_cell_length_a 5.594
_cell_length_b 4.377
_cell_length_c 5.594
_cell_angle_alpha 90.00
_cell_angle_beta 90.00
_cell_angle_gamma 90.00
_space_group_name_H-M_alt 'P 1'
_space_group_IT_number 1
_space_group_name_Hall 'P 1'
loop_
_atom_site_label
_atom_site_type_symbol
_atom_site_fract_x
_atom_site_fract_y
_atom_site_fract_z
Br1 Br 0.500 0.500 0.500
Re1 Re 0.000 0.500 0.000
S1 S 0.000 0.000 0.000
Na1 Na 0.000 0.000 0.500
Na2 Na 0.500 0.000 0.000
```

Values from the calculation:
N(E_F)   2.37 states/eV per cell
DFT total energy   -4.223 eV per atom
Volume   27.39 Å³ per atom
M_tot   0.437 μB per atom

***

[5]
## MoAsCl (PBE-GGA)

Data for crystalline MoAsCl at its relaxed geometry.

CIF file:
```
data_MoAsCl
_cell_length_a 4.506
_cell_length_b 4.506
_cell_length_c 4.506
_cell_angle_alpha 60.00
_cell_angle_beta 60.00
_cell_angle_gamma 60.00
_space_group_name_H-M_alt 'P 1'
_space_group_IT_number 1
_space_group_name_Hall 'P 1'
loop_
_atom_site_label
_atom_site_type_symbol
_atom_site_fract_x
_atom_site_fract_y
_atom_site_fract_z
As1 As 0.750 0.750 0.750
Cl1 Cl 0.000 0.000 0.000
Mo1 Mo 0.500 0.500 0.500
```

Values from the calculation:
N(E_F)   2.10 states/eV per cell
DFT total energy   -4.871 eV per atom
Volume   21.56 Å³ per atom
M_tot   0.666 μB per atom

***

[6]
## TaI2Br (PBE-GGA)

Data for crystalline TaI2Br at its relaxed geometry.

CIF file:
```
data_TaI2Br
_cell_length_a 3.508
_cell_length_b 12.216
_cell_length_c 7.981
_cell_angle_alpha 90.00
_cell_angle_beta 114.21
_cell_angle_gamma 90.00
_space_group_name_H-M_alt 'P 1'
_space_group_IT_number 1
_space_group_name_Hall 'P 1'
loop_
_atom_site_label
_atom_site_type_symbol
_atom_site_fract_x
_atom_site_fract_y
_atom_site_fract_z
Br1 Br 0.149 0.000 0.039
Br2 Br 0.149 0.500 0.539
Ta1 Ta 0.904 0.000 0.312
Ta2 Ta 0.904 0.500 0.812
I1 I 0.549 0.652 0.967
I2 I 0.549 0.152 0.467
I3 I 0.549 0.848 0.467
I4 I 0.549 0.348 0.967
```

Values from the calculation:
N(E_F)   5.30 states/eV per cell
DFT total energy   -4.423 eV per atom
Volume   38.99 Å³ per atom
M_tot   0.008 μB per atom